Version a
Tb2PmTm7: optimized geometry, PBE-GGA.

Fermi-level density of states ... 1.362 states/eV/atom
Volume ... 30.7 Å³ per atom
Magnetization ... 0.0 μB per formula unit

CIF file:
```
data_Tb2PmTm7
_chemical_formula_sum 'Tb2 Pm1 Tm7'
_cell_length_a 6.085
_cell_length_b 7.043
_cell_length_c 7.850
_cell_angle_alpha 77.21
_cell_angle_beta 75.08
_cell_angle_gamma 73.31
_space_group_name_H-M_alt 'P -1'
_space_group_IT_number 2
loop_
_space_group_symop_operation_xyz
'x,y,z'
'-x,-y,-z'
loop_
_atom_site_label
_atom_site_type_symbol
_atom_site_fract_x
_atom_site_fract_y
_atom_site_fract_z
_atom_site_occupancy
Tb1 Tb 0.200 0.300 0.100 1
Pm1 Pm 0.000 0.000 0.500 1
Tm1 Tm 0.000 0.500 0.500 1
Tm2 Tm 0.201 0.799 0.100 1
Tm3 Tm 0.400 0.100 0.700 1
Tm4 Tm 0.401 0.599 0.701 1
```



Version b
Tb2PmTm7: optimized geometry, PBE-GGA.

Fermi-level density of states ... 1.495 states/eV/atom
Volume ... 38.2 Å³ per atom
Magnetization ... 0.0 μB per formula unit

CIF file:
```
data_Tb2PmTm7
_chemical_formula_sum 'Tb4 Pm2 Tm14'
_cell_length_a 8.641
_cell_length_b 16.684
_cell_length_c 5.302
_cell_angle_alpha 90.00
_cell_angle_beta 90.00
_cell_angle_gamma 90.00
_space_group_name_H-M_alt 'C m m m'
_space_group_IT_number 65
_space_group_name_Hall '-C 2 2'
loop_
_atom_site_label
_atom_site_type_symbol
_atom_site_fract_x
_atom_site_fract_y
_atom_site_fract_z
_atom_site_occupancy
Tb1 Tb 0.000 0.201 0.000 1
Pm1 Pm 0.000 0.500 0.500 1
Tm1 Tm 0.000 0.000 0.000 1
Tm2 Tm 0.000 0.298 0.500 1
Tm3 Tm 0.177 0.388 0.000 1
```



Least stable structure: version b



Version a
Tb4PmTm: optimized geometry, PBE-GGA.

Fermi-level density of states ... 1.276 states/eV/atom
Volume ... 31.9 Å³ per atom
Magnetization ... 0.0 μB per formula unit

CIF file:
```
data_Tb4PmTm
_chemical_formula_sum 'Tb4 Pm1 Tm1'
_cell_length_a 3.568
_cell_length_b 6.159
_cell_length_c 9.420
_cell_angle_alpha 77.41
_cell_angle_beta 79.15
_cell_angle_gamma 73.22
_space_group_name_H-M_alt 'P -1'
_space_group_IT_number 2
loop_
_space_group_symop_operation_xyz
'x,y,z'
'-x,-y,-z'
loop_
_atom_site_label
_atom_site_type_symbol
_atom_site_fract_x
_atom_site_fract_y
_atom_site_fract_z
_atom_site_occupancy
Tb1 Tb 0.166 0.498 0.169 1
Tb2 Tb 0.167 0.002 0.664 1
Pm1 Pm 0.500 0.000 0.000 1
Tm1 Tm 0.500 0.500 0.500 1
```



Version b
Tb4PmTm: optimized geometry, PBE-GGA.

Fermi-level density of states ... 1.572 states/eV/atom
Volume ... 33.6 Å³ per atom
Magnetization ... 0.0 μB per formula unit

CIF file:
```
data_Tb4PmTm
_chemical_formula_sum 'Tb16 Pm4 Tm4'
_cell_length_a 9.304
_cell_length_b 9.304
_cell_length_c 9.304
_cell_angle_alpha 90.00
_cell_angle_beta 90.00
_cell_angle_gamma 90.00
_space_group_name_H-M_alt 'F -4 3 m'
_space_group_IT_number 216
_space_group_name_Hall 'F -4 2 3'
loop_
_atom_site_label
_atom_site_type_symbol
_atom_site_fract_x
_atom_site_fract_y
_atom_site_fract_z
_atom_site_occupancy
Tb1 Tb 0.125 0.125 0.125 1
Pm1 Pm 0.000 0.000 0.500 1
Tm1 Tm 0.250 0.250 0.750 1
```



Least stable structure: version b